The following is a DFT calculation (PBE) of Rb2DyCu2Se4 after structural relaxation.

POSCAR file:
```
Rb2DyCu2Se4
1.0
7.5795 -2.0331 0.0000
7.5795 2.0331 0.0000
-2.6021 0.0000 7.8104
Rb Dy Cu Se
2 1 2 4
Direct
0.1320 0.1320 0.0554
0.8680 0.8680 0.9446
0.0000 0.0000 0.5000
0.3183 0.3183 0.5128
0.6817 0.6817 0.4872
0.2010 0.2010 0.6692
0.4768 0.4768 0.7272
0.5232 0.5232 0.2728
0.7990 0.7990 0.3308
```

* SG: No. 12
* crystal system: monoclinic
* energy: -4.243 eV per atom

=====

The following is a DFT calculation (PBE) of CaY2Br after structural relaxation.

POSCAR file:
```
CaY2Br
1.0
3.3185 -6.3526 0.0000
3.3185 6.3526 0.0000
-1.9140 0.0000 3.0858
Ca Y Br
1 2 1
Direct
0.0000 0.0000 0.0000
0.0000 0.5000 0.5000
0.5000 0.0000 0.5000
0.5000 0.5000 0.0000
```

* SG: No. 12
* crystal system: monoclinic
* energy: -4.368 eV per atom

=====

The following is a DFT calculation (PBE) of TaTeNF2 after structural relaxation.

POSCAR file:
```
TaTeNF2
1.0
4.4410 0.0000 0.0000
0.0000 4.4410 0.0000
0.0000 0.0000 4.3165
Ta Te N F
1 1 1 2
Direct
0.0000 0.0000 0.0000
0.5000 0.5000 0.5000
0.5000 0.5000 0.0000
0.0000 0.5000 0.5000
0.5000 0.0000 0.5000
```

* SG: No. 123
* crystal system: tetragonal
* energy: -4.713 eV per atom

=====

The following is a DFT calculation (PBE) of MoIrCl2 after structural relaxation.

POSCAR file:
```
MoIrCl2
1.0
3.0795 -1.7779 0.0000
3.0795 1.7779 0.0000
-0.3318 0.0000 8.8171
Mo Ir Cl
1 1 2
Direct
0.0000 0.0000 0.0000
0.6587 0.6587 0.8544
0.3436 0.3436 0.1963
0.6446 0.6446 0.5996
```

* SG: No. 8
* crystal system: monoclinic
* energy: -6.079 eV per atom